## NpHPd2Au (PBE-GGA)

Data for NpHPd2Au after structural relaxation.

Calculated values
**Crystal system**: tetragonal
**VASP energy**: -30.6 eV per formula unit
**Calculated volume**: 15.99 Å³/atom

Cell lengths 4.1652, 4.1652, 4.6082 Å; angles 90.00, 90.00, 90.00 degrees
Closest atoms and distances in Å follow each position.
Space group P4mm (No. 99)
One atom of each set of equivalent atoms:
Np 0.0000 0.0000 0.0000 x1  2 H 2.30
H 0.0000 0.0000 0.4999 x1  4 Pd 2.08, 2 Np 2.30
Pd 0.0000 0.5000 0.5020 x2  2 H 2.08
Au 0.5000 0.5000 0.0060 x1  4 Np 2.95, 8 Pd 3.09-3.12